! LiHo4ScS8, optimized geometry, DFT PBE; values from VASP
&SYSTEM
  ibrav = 0, nat = 14, ntyp = 4
/
ATOMIC_SPECIES
Ho 164.93 Ho.upf
S 32.06 S.upf
Sc 44.96 Sc.upf
Li 6.94 Li.upf
CELL_PARAMETERS angstrom
7.948 0.000 0.000
3.974 6.883 0.000
3.974 2.294 6.361
ATOMIC_POSITIONS crystal
Ho 0.005 0.487 0.504
Ho 0.623 0.623 0.131
Ho 0.005 0.005 0.504
Ho 0.487 0.005 0.504
S 0.245 0.245 0.266
S 0.236 0.773 0.755
S 0.765 0.221 0.249
S 0.773 0.236 0.755
S 0.758 0.758 0.726
S 0.765 0.765 0.249
S 0.221 0.765 0.249
S 0.236 0.236 0.755
Sc 0.007 0.007 0.980
Li 0.375 0.375 0.876
! * density: 4620 kg/m3
! * crystal system: trigonal
! * VASP energy: -6.195 eV per atom
! * magnetic moment: 0.000 μB per formula unit